Entry 1:
## PtC2I (PBE)

Data for crystalline PtC2I at its relaxed geometry.

Computed properties:
Total magnetic moment = 0.00 μB/f.u.
Energy = -77.01 eV/cell
Crystal system = tetragonal
Raw formation energy = 1.6965 eV per atom

CIF file:
```
data_PtC2I
_symmetry_space_group_name_H-M 'I -4 2 d'
_symmetry_Int_Tables_number 122
_symmetry_space_group_name_Hall 'I -4 2bw'
_cell_length_a 5.721
_cell_length_b 5.721
_cell_length_c 8.800
_cell_angle_alpha 90.00
_cell_angle_beta 90.00
_cell_angle_gamma 90.00
loop_
_atom_site_label
_atom_site_fract_x
_atom_site_fract_y
_atom_site_fract_z
_atom_site_occupancy
Pt1 0.000 0.000 0.000 1
C1 0.143 0.250 0.125 1
I1 0.000 0.000 0.500 1
```

***

Entry 2:
## PtCI3 (PBE)

Data for crystalline PtCI3 at its relaxed geometry.

Computed properties:
Total magnetic moment = 0.55 μB/f.u.
Energy = -11.75 eV/cell
Crystal system = cubic
Raw formation energy = 1.6339 eV per atom

CIF file:
```
data_PtCI3
_symmetry_space_group_name_H-M 'P m -3 m'
_symmetry_Int_Tables_number 221
_symmetry_space_group_name_Hall '-P 4 2 3'
_cell_length_a 4.941
_cell_length_b 4.941
_cell_length_c 4.941
_cell_angle_alpha 90.00
_cell_angle_beta 90.00
_cell_angle_gamma 90.00
loop_
_atom_site_label
_atom_site_fract_x
_atom_site_fract_y
_atom_site_fract_z
_atom_site_occupancy
Pt1 0.000 0.000 0.000 1
C1 0.500 0.500 0.500 1
I1 0.000 0.500 0.500 1
```

***

Entry 3:
## PtCI3 (PBE)

Data for crystalline PtCI3 at its relaxed geometry.

Computed properties:
Total magnetic moment = 1.22 μB/f.u.
Energy = -12.13 eV/cell
Crystal system = cubic
Raw formation energy = 1.5569 eV per atom

CIF file:
```
data_PtCI3
_symmetry_space_group_name_H-M 'P m -3 m'
_symmetry_Int_Tables_number 221
_symmetry_space_group_name_Hall '-P 4 2 3'
_cell_length_a 5.482
_cell_length_b 5.482
_cell_length_c 5.482
_cell_angle_alpha 90.00
_cell_angle_beta 90.00
_cell_angle_gamma 90.00
loop_
_atom_site_label
_atom_site_fract_x
_atom_site_fract_y
_atom_site_fract_z
_atom_site_occupancy
Pt1 0.000 0.000 0.000 1
C1 0.500 0.500 0.500 1
I1 0.000 0.000 0.500 1
```